Record 1
Density functional theory data (PBE) for a relaxed BaZn3Rh3 crystal.

abc: 6.841 6.841 6.841
angles: 90.00 90.00 90.00
Space group Pm-3n (No. 223)
Unique sites:
Ba1 0.000 0.000 0.000 x2
Zn1 0.000 0.250 0.500 x6
Rh1 0.000 0.500 0.250 x6

formation enthalpy at 0 K	0.45	eV per formula unit
D(E_F)	0.8690	states/eV per atom

***

Record 2
Density functional theory data (PBE) for a relaxed Ba2ZnRh crystal.

abc: 3.928 3.889 8.021
angles: 90.00 90.07 90.00
Space group P2/m (No. 10)
Unique sites:
Ba1 0.000 0.000 0.224 x2
Zn1 0.500 0.500 0.500 x1
Rh1 0.500 0.500 0.000 x1

formation enthalpy at 0 K	-0.30	eV per formula unit
D(E_F)	0.9302	states/eV per atom